Entry from Alexandria via LeMat-Bulk: a relaxed Li2PrDySe4 crystal (PBE).

extended XYZ file:
```
8
Lattice="6.945 0.000 0.000 0.000 4.156 0.000 -2.481 0.000 6.760" Properties=species:S:1:pos:R:3 pbc="T T T"
Li 0.000 0.000 0.000
Li -1.241 2.078 3.380
Pr 2.232 0.000 3.380
Dy 3.473 2.078 0.000
Se 1.082 2.078 1.609
Se -0.176 0.000 5.119
Se 4.640 0.000 1.640
Se 3.382 2.078 5.151
```

Output
Raw total energy: -5.06 eV/atom
Formation energy (no corrections): -1669.2 meV/atom
M_tot: 0.00 μB per cell
Symmetry: P2/m